(1)
The following is a DFT calculation (PBE) of a geometry-optimized NaTl2ZnPt structure.

Cell lengths 5.360, 5.360, 4.969 Å; angles 90.00, 90.00, 90.00 degrees
Element x y z (fractional)
1 Na 0.500 0.500 0.500
2 Tl 0.000 0.500 0.000
3 Tl 0.500 0.000 0.000
4 Zn 0.000 0.000 0.500
5 Pt 0.000 0.000 0.000

Output
Raw total energy, eV for the cell shown: -13.64
ΔH_f (0 K), kJ/mol of atoms: -5.3
Space-group type: No. 123
Density, g/cm³: 8.05
D(E_F), states/eV/f.u.: 2.9

(2)
The following is a DFT calculation (PBE) of a geometry-optimized NaTmPt4 structure.

Cell lengths 5.376, 5.376, 5.376 Å; angles 60.00, 60.00, 60.00 degrees
Element x y z (fractional)
1 Na 0.250 0.250 0.250
2 Tm 0.000 0.000 0.000
3 Pt 0.625 0.625 0.126
4 Pt 0.625 0.126 0.625
5 Pt 0.625 0.625 0.625
6 Pt 0.126 0.625 0.625

Output
Raw total energy, eV for the cell shown: -34.76
ΔH_f (0 K), kJ/mol of atoms: -77.2
Space-group type: No. 216
Density, g/cm³: 14.69
D(E_F), states/eV/f.u.: 6.3

(3)
The following is a DFT calculation (PBE) of a geometry-optimized NaTmPt2 structure.

Cell lengths 3.376, 3.376, 7.147 Å; angles 90.00, 90.00, 90.00 degrees
Element x y z (fractional)
1 Na 0.500 0.500 0.500
2 Tm 0.500 0.500 0.000
3 Pt 0.000 0.000 0.775
4 Pt 0.000 0.000 0.225

Output
Raw total energy, eV for the cell shown: -20.92
ΔH_f (0 K), kJ/mol of atoms: -73.5
Space-group type: No. 123
Density, g/cm³: 11.86
D(E_F), states/eV/f.u.: 2.0

(4)
The following is a DFT calculation (PBE) of a geometry-optimized NaTm2Pt structure.

Cell lengths 4.034, 4.034, 10.548 Å; angles 78.97, 78.97, 60.00 degrees
Element x y z (fractional)
1 Na 0.000 0.000 0.000
2 Tm 0.120 0.120 0.641
3 Tm 0.880 0.880 0.359
4 Pt 0.500 0.500 0.500

Output
Raw total energy, eV for the cell shown: -18.19
ΔH_f (0 K), kJ/mol of atoms: -45.5
Space-group type: No. 166
Density, g/cm³: 6.37
D(E_F), states/eV/f.u.: 2.1

(5)
The following is a DFT calculation (PBE) of a geometry-optimized NaTmPt structure.

Cell lengths 4.746, 4.735, 8.538 Å; angles 73.89, 90.00, 120.07 degrees
Element x y z (fractional)
1 Tm 0.122 0.245 0.133
2 Tm 0.878 0.755 0.867
3 Na 0.366 0.731 0.402
4 Na 0.634 0.269 0.598
5 Pt 0.237 0.474 0.789
6 Pt 0.763 0.526 0.211

Output
Raw total energy, eV for the cell shown: -27.71
ΔH_f (0 K), kJ/mol of atoms: -65.0
Space-group type: No. 12
Density, g/cm³: 8.17
D(E_F), states/eV/f.u.: 0.8

(6)
The following is a DFT calculation (PBE) of a geometry-optimized NaTmPt2 structure.

Cell lengths 3.836, 4.409, 4.409 Å; angles 90.00, 90.00, 90.00 degrees
Element x y z (fractional)
1 Na 0.500 0.000 0.000
2 Tm 0.500 0.500 0.500
3 Pt 0.000 0.000 0.500
4 Pt 0.000 0.500 0.000

Output
Raw total energy, eV for the cell shown: -20.79
ΔH_f (0 K), kJ/mol of atoms: -70.4
Space-group type: No. 123
Density, g/cm³: 12.96
D(E_F), states/eV/f.u.: 1.1

(7)
The following is a DFT calculation (PBE) of a geometry-optimized Na2U2Pt15 structure.

Cell lengths 7.073, 7.073, 7.073 Å; angles 82.70, 82.70, 82.70 degrees
Element x y z (fractional)
1 Na 0.361 0.361 0.361
2 Na 0.639 0.639 0.639
3 U 0.088 0.088 0.088
4 U 0.912 0.912 0.912
5 Pt 0.500 0.000 0.000
6 Pt 0.000 0.000 0.500
7 Pt 0.000 0.500 0.000
8 Pt 0.000 0.686 0.314
9 Pt 0.686 0.314 0.000
10 Pt 0.314 0.000 0.686
11 Pt 0.314 0.686 0.000
12 Pt 0.686 0.000 0.314
13 Pt 0.000 0.314 0.686
14 Pt 0.157 0.658 0.658
15 Pt 0.658 0.658 0.157
16 Pt 0.658 0.157 0.658
17 Pt 0.843 0.342 0.342
18 Pt 0.342 0.342 0.843
19 Pt 0.342 0.843 0.342

Output
Raw total energy, eV for the cell shown: -122.25
ΔH_f (0 K), kJ/mol of atoms: -32.6
Space-group type: No. 166
Density, g/cm³: 16.55
D(E_F), states/eV/f.u.: 22.1

(8)
The following is a DFT calculation (PBE) of a geometry-optimized NaUPt4 structure.

Cell lengths 5.382, 5.382, 5.382 Å; angles 60.00, 60.00, 60.00 degrees
Element x y z (fractional)
1 Na 0.250 0.250 0.250
2 U 0.000 0.000 0.000
3 Pt 0.625 0.625 0.126
4 Pt 0.625 0.126 0.625
5 Pt 0.625 0.625 0.625
6 Pt 0.126 0.625 0.625

Output
Raw total energy, eV for the cell shown: -40.25
ΔH_f (0 K), kJ/mol of atoms: -55.9
Space-group type: No. 216
Density, g/cm³: 15.69
D(E_F), states/eV/f.u.: 8.4

(9)
The following is a DFT calculation (PBE) of a geometry-optimized Na2VPt structure.

Cell lengths 4.791, 4.791, 4.791 Å; angles 60.00, 60.00, 60.00 degrees
Element x y z (fractional)
1 Na 0.250 0.250 0.250
2 Na 0.750 0.750 0.750
3 Pt 0.500 0.500 0.500
4 V 0.000 0.000 0.000

Output
Raw total energy, eV for the cell shown: -15.34
ΔH_f (0 K), kJ/mol of atoms: 59.4
Space-group type: No. 225
Density, g/cm³: 6.23
Energy above the lowest structure with this stoichiometry, meV per atom: 48
D(E_F), states/eV/f.u.: 7.5

(10)
The following is a DFT calculation (PBE) of a geometry-optimized NaVPt2 structure.

Cell lengths 7.216, 7.216, 5.810 Å; angles 51.61, 51.61, 90.00 degrees
Element x y z (fractional)
1 Na 0.500 0.500 0.000
2 Na 0.250 0.750 0.500
3 Pt 0.669 0.125 0.250
4 Pt 0.081 0.625 0.250
5 Pt 0.375 0.331 0.750
6 Pt 0.875 0.919 0.750
7 V 0.000 0.000 0.000
8 V 0.750 0.250 0.500

Output
Raw total energy, eV for the cell shown: -44.19
ΔH_f (0 K), kJ/mol of atoms: 10.3
Space-group type: No. 122
Density, g/cm³: 10.65
D(E_F), states/eV/f.u.: 3.8

(11)
The following is a DFT calculation (PBE) of a geometry-optimized NaVPt2 structure.

Cell lengths 2.848, 2.848, 8.079 Å; angles 90.00, 90.00, 90.00 degrees
Element x y z (fractional)
1 Na 0.500 0.500 0.500
2 Pt 0.000 0.000 0.789
3 Pt 0.000 0.000 0.211
4 V 0.500 0.500 0.000

Output
Raw total energy, eV for the cell shown: -24.06
ΔH_f (0 K), kJ/mol of atoms: -37.1
Space-group type: No. 123
Density, g/cm³: 11.76
D(E_F), states/eV/f.u.: 3.6

(12)
The following is a DFT calculation (PBE) of a geometry-optimized Na2VPt structure.

Cell lengths 8.742, 8.742, 6.673 Å; angles 49.08, 49.08, 90.00 degrees
Element x y z (fractional)
1 Na 0.688 0.125 0.250
2 Na 0.062 0.625 0.250
3 Na 0.375 0.312 0.750
4 Na 0.875 0.938 0.750
5 Pt 0.000 0.000 0.000
6 Pt 0.750 0.250 0.500
7 V 0.500 0.500 0.000
8 V 0.250 0.750 0.500

Output
Raw total energy, eV for the cell shown: -31.06
ΔH_f (0 K), kJ/mol of atoms: 54.8
Space-group type: No. 122
Density, g/cm³: 5.05
Energy above the lowest structure with this stoichiometry, meV per atom: 0
D(E_F), states/eV/f.u.: 3.7